DFT (PBE) results for Tm2TlCl8 after structural relaxation.

a b c (Å): 7.1168 6.8610 6.8610
angles (deg): 76.66 81.37 81.37
With the nearest neighbours (Å) after each atom.
Positions (direct):
Tm 0.4530 0.3172 0.3172  7 Cl 2.59-2.77
Tm 0.5470 0.6828 0.6828  7 Cl 2.59-2.77
Tl 0.0000 0.0000 0.0000  6 Cl 2.74-3.06
Cl 0.3416 0.6707 0.0501  2 Tm 2.71-2.77
Cl 0.6584 0.9499 0.3293  2 Tm 2.71-2.77
Cl 0.1494 0.2167 0.2167  1 Tm 2.59, 1 Tl 2.74
Cl 0.8506 0.7833 0.7833  1 Tm 2.59, 1 Tl 2.74
Cl 0.3416 0.0501 0.6707  2 Tm 2.71-2.77
Cl 0.6584 0.3293 0.9499  2 Tm 2.71-2.77
Cl 0.7343 0.4429 0.4429  2 Tm 2.62-2.67
Cl 0.2657 0.5571 0.5571  2 Tm 2.62-2.67

Calculated values
Formation energy from raw total energies: -1.780 eV per atom
Total magnetization: 0.00 μB per atom

DFT (PBE) results for TmTlCl after structural relaxation.

a b c (Å): 3.7662 6.0845 9.4328
angles (deg): 71.18 90.00 90.00
With the nearest neighbours (Å) after each atom.
Positions (direct):
Cl 0.7500 0.6909 0.6181  2 Tm 2.60
Cl 0.2500 0.3091 0.3819  2 Tm 2.60
Tl 0.2500 0.0739 0.8521  2 Tm 3.06, 2 Tl 3.24
Tl 0.7500 0.9261 0.1479  2 Tm 3.06, 2 Tl 3.24
Tm 0.2500 0.5905 0.8189  2 Cl 2.60
Tm 0.7500 0.4095 0.1811  2 Cl 2.60

Calculated values
Formation energy from raw total energies: -0.767 eV per atom
Total magnetization: 0.00 μB per atom

DFT (PBE) results for TmTl2Cl6 after structural relaxation.

a b c (Å): 3.8279 7.8808 8.6891
angles (deg): 116.97 90.00 90.00
With the nearest neighbours (Å) after each atom.
Positions (direct):
Tm 0.5000 0.9646 0.0000  7 Cl 2.67-2.77
Tl 0.0000 0.3292 0.6637  7 Cl 3.01-3.36
Tl 0.0000 0.6655 0.3363  7 Cl 3.01-3.36
Cl 0.5000 0.6141 0.0000  1 Tm 2.76
Cl 0.5000 0.4327 0.4307  4 Tl 3.01-3.15
Cl 0.5000 0.0020 0.5693  4 Tl 3.01-3.15
Cl 0.0000 0.2191 0.0000  2 Tm 2.77
Cl 0.0000 0.7726 0.7722  2 Tm 2.67
Cl 0.0000 0.0003 0.2278  2 Tm 2.67

Calculated values
Formation energy from raw total energies: -1.378 eV per atom
Total magnetization: 0.00 μB per atom

DFT (PBE) results for TmTlVCl6 after structural relaxation.

a b c (Å): 6.6031 6.6031 14.5109
angles (deg): 90.00 90.00 120.00
With the nearest neighbours (Å) after each atom.
Positions (direct):
Tm 0.6667 0.3333 0.2500  6 Cl 2.62
Tm 0.3333 0.6667 0.7500  6 Cl 2.62
Tl 0.0000 0.0000 0.0000  6 Cl 3.25
Tl 0.0000 0.0000 0.5000  6 Cl 3.25
V 0.3333 0.6667 0.2500  6 Cl 2.50
V 0.6667 0.3333 0.7500  6 Cl 2.50
Cl 0.6258 0.6398 0.1494  1 V 2.50, 1 Tm 2.62
Cl 0.0140 0.3742 0.1494  1 V 2.50, 1 Tm 2.62
Cl 0.3742 0.0140 0.6494  1 V 2.50, 1 Tm 2.62
Cl 0.9860 0.6258 0.8506  1 V 2.50, 1 Tm 2.62
Cl 0.3602 0.3742 0.3506  1 V 2.50, 1 Tm 2.62
Cl 0.0140 0.6398 0.3506  1 V 2.50, 1 Tm 2.62
Cl 0.6398 0.0140 0.8506  1 V 2.50, 1 Tm 2.62
Cl 0.6258 0.9860 0.3506  1 V 2.50, 1 Tm 2.62
Cl 0.9860 0.3602 0.6494  1 V 2.50, 1 Tm 2.62
Cl 0.3602 0.9860 0.1494  1 V 2.50, 1 Tm 2.62
Cl 0.6398 0.6258 0.6494  1 V 2.50, 1 Tm 2.62
Cl 0.3742 0.3602 0.8506  1 V 2.50, 1 Tm 2.62

Calculated values
Formation energy from raw total energies: -1.640 eV per atom
Total magnetization: 0.33 μB per atom